! NaEuHg2 | the Alexandria database | PBE | optimized geometry; values from VASP
! Magnetic moment   7.50 Bohr magnetons per cell
! Calculated formation energy   -37 kJ per mole of atoms
! Space group   Fm-3m, No. 225
! Energy   -3.4312 eV per atom
! ΔE to the lowest computed polymorph   0.0 meV per atom
&SYSTEM
  ibrav = 0, nat = 4, ntyp = 3
/
ATOMIC_SPECIES
Hg 200.59 Hg.upf
Na 22.99 Na.upf
Eu 151.96 Eu.upf
CELL_PARAMETERS angstrom
-2.1608 -4.5771 1.8535
1.9046 -2.2446 4.5154
-2.9727 0.0502 4.4961
ATOMIC_POSITIONS angstrom
Hg -0.8072 -1.6929 2.7163
Na 0.0000 0.0000 0.0000
Hg -2.4217 -5.0786 8.1488
Eu -1.6145 -3.3857 5.4325

=====

! NaEuHg | the Alexandria database | PBE | optimized geometry; values from VASP
! Magnetic moment   7.33 Bohr magnetons per cell
! Calculated formation energy   -19 kJ per mole of atoms
! Space group   F-43m, No. 216
! Energy   -4.1623 eV per atom
! ΔE to the lowest computed polymorph   46.6 meV per atom
&SYSTEM
  ibrav = 0, nat = 3, ntyp = 3
/
ATOMIC_SPECIES
Na 22.99 Na.upf
Hg 200.59 Hg.upf
Eu 151.96 Eu.upf
CELL_PARAMETERS angstrom
-0.6280 -4.1495 3.2782
2.4469 -4.6130 -1.0449
4.0512 -1.6169 3.0549
ATOMIC_POSITIONS angstrom
Na 2.9350 -5.1897 2.6441
Hg 1.4675 -2.5949 1.3220
Eu 0.0000 0.0000 0.0000

=====

! Na2EuHg | the Alexandria database | PBE | optimized geometry; values from VASP
! Magnetic moment   7.58 Bohr magnetons per cell
! Calculated formation energy   -14 kJ per mole of atoms
! Space group   P4/mmm, No. 123
! Energy   -3.4501 eV per atom
! ΔE to the lowest computed polymorph   0.0 meV per atom
&SYSTEM
  ibrav = 0, nat = 4, ntyp = 3
/
ATOMIC_SPECIES
Na 22.99 Na.upf
Eu 151.96 Eu.upf
Hg 200.59 Hg.upf
CELL_PARAMETERS angstrom
5.7335 0.0000 0.0000
0.0000 4.7451 0.0000
0.0000 0.0000 4.7451
ATOMIC_POSITIONS angstrom
Na 0.0000 0.0000 2.3726
Na 0.0000 2.3726 0.0000
Eu 2.8668 2.3726 2.3726
Hg 2.8668 0.0000 0.0000